Compound: Nd2AuS
Source: Alexandria via LeMat-Bulk
Functional: GGA-PBE
Structure: optimized geometry

Calculated values
Energy relative to the elements, uncorrected (eV per formula unit): -5.6
N(E_F) (states/eV/atom): 0.629

Cell: 11.9982 11.9982 4.2763 Å, 90.00 90.00 160.63°
Closest atoms and distances in Å follow each position.
Positions (direct):
Nd  0.0716  0.9284  0.7500  1 S 2.83, 4 Au 3.01
Nd  0.3109  0.6891  0.7500  5 S 2.83-2.94
Nd  0.6891  0.3109  0.2500  5 S 2.83-2.94
Nd  0.9284  0.0716  0.2500  1 S 2.83, 4 Au 3.01
Au  0.4559  0.5441  0.7500  2 Au 2.99, 4 Nd 3.01
Au  0.5441  0.4559  0.2500  2 Au 2.99, 4 Nd 3.01
S  0.1913  0.8087  0.7500  6 Nd 2.83-2.94
S  0.8087  0.1913  0.2500  6 Nd 2.83-2.94

Compound: Tb7Cd2Co2
Source: Alexandria via LeMat-Bulk
Functional: GGA-PBE
Structure: optimized geometry

Calculated values
Energy of formation from the pure elements (meV per atom): -114.7
N(E_F) (states/eV/atom): 1.020

Cell: 6.7231 6.7231 7.0941 Å, 90.00 90.00 109.40°
Closest atoms and distances in Å follow each position.
Positions (direct):
Tb  0.0000  0.0000  0.0000  2 Co 3.21
Tb  0.0000  0.5000  0.2428  2 Co 2.64
Tb  0.0000  0.5000  0.7572  2 Co 2.64
Tb  0.5000  0.0000  0.2428  2 Co 2.64
Tb  0.5000  0.0000  0.7572  2 Co 2.64
Tb  0.5000  0.5000  0.2328  2 Co 2.81, 2 Cd 3.14
Tb  0.5000  0.5000  0.7672  2 Co 2.81, 2 Cd 3.14
Cd  0.1781  0.1781  0.5000  1 Cd 2.77
Cd  0.8219  0.8219  0.5000  1 Cd 2.77
Co  0.2928  0.7072  0.0000  6 Tb 2.64-2.81
Co  0.7072  0.2928  0.0000  6 Tb 2.64-2.81

Compound: TlRhBr6
Source: Alexandria via LeMat-Bulk
Functional: GGA-PBE
Structure: optimized geometry

Calculated values
Energy relative to the elements, uncorrected (eV per formula unit): -3.3

Cell: 6.9062 6.9062 7.0303 Å, 102.68 102.68 104.32°
Closest atoms and distances in Å follow each position.
Positions (direct):
Tl  0.0000  0.0000  0.0000  6 Br 2.83-2.85
Rh  0.0000  0.0000  0.5000  6 Br 2.51
Br  0.0341  0.7150  0.2308  1 Rh 2.51
Br  0.2542  0.2542  0.3963  1 Rh 2.51
Br  0.2850  0.9659  0.7692  1 Rh 2.51
Br  0.7150  0.0341  0.2308  1 Rh 2.51
Br  0.7458  0.7458  0.6037  1 Rh 2.51
Br  0.9659  0.2850  0.7692  1 Rh 2.51

Please write out number 1 again, unchanged.
Compound: Nd2AuS
Source: Alexandria via LeMat-Bulk
Functional: GGA-PBE
Structure: optimized geometry

Calculated values
Energy relative to the elements, uncorrected (eV per formula unit): -5.6
N(E_F) (states/eV/atom): 0.629

Cell: 11.9982 11.9982 4.2763 Å, 90.00 90.00 160.63°
Closest atoms and distances in Å follow each position.
Positions (direct):
Nd  0.0716  0.9284  0.7500  1 S 2.83, 4 Au 3.01
Nd  0.3109  0.6891  0.7500  5 S 2.83-2.94
Nd  0.6891  0.3109  0.2500  5 S 2.83-2.94
Nd  0.9284  0.0716  0.2500  1 S 2.83, 4 Au 3.01
Au  0.4559  0.5441  0.7500  2 Au 2.99, 4 Nd 3.01
Au  0.5441  0.4559  0.2500  2 Au 2.99, 4 Nd 3.01
S  0.1913  0.8087  0.7500  6 Nd 2.83-2.94
S  0.8087  0.1913  0.2500  6 Nd 2.83-2.94